No. 1
This record from Alexandria via LeMat-Bulk describes a geometry-optimized La2EuN structure. The functional is PBE.

Properties
- energy relative to the elements, uncorrected (eV/atom) = -0.63
- raw total energy (eV/atom) = -7.740

Structure (extended XYZ):
```
4
Lattice="1.863 1.076 10.010 -1.863 1.076 10.010 0.000 -2.152 10.010" Properties=species:S:1:pos:R:3 pbc="T T T"
La 0.000 0.000 6.417
La 0.000 0.000 23.612
Eu 0.000 0.000 0.000
N 0.000 0.000 15.015
```

No. 2
This record from Alexandria via LeMat-Bulk describes a geometry-optimized PmNd2Sn2 structure. The functional is PBE.

Properties
- formation enthalpy at 0 K (meV per atom) = -696
- raw total energy (eV/atom) = -5.154

Structure (extended XYZ):
```
10
Lattice="8.325 0.000 0.000 0.000 8.325 0.000 0.000 0.000 4.489" Properties=species:S:1:pos:R:3 pbc="T T T"
Pm 0.000 0.000 0.000
Pm 4.162 4.162 0.000
Nd 1.424 2.738 2.244
Nd 2.738 6.901 2.244
Nd 5.587 1.424 2.244
Nd 6.901 5.587 2.244
Sn 1.075 5.238 0.000
Sn 3.087 1.075 0.000
Sn 5.238 7.250 0.000
Sn 7.250 3.087 0.000
```

No. 3
This record from Alexandria via LeMat-Bulk describes a geometry-optimized CaAcEr4S8 structure. The functional is PBE.

Properties
- energy relative to the elements, uncorrected (eV/atom) = -1.98
- raw total energy (eV/atom) = -6.078

Structure (extended XYZ):
```
14
Lattice="4.030 2.327 6.830 -4.030 2.327 6.830 0.000 -4.654 6.830" Properties=species:S:1:pos:R:3 pbc="T T T"
Ca 0.000 0.000 0.000
Ac 0.000 0.000 12.865
Er -2.044 -1.180 9.416
Er 0.000 0.000 5.184
Er 2.044 -1.180 9.416
Er 0.000 2.360 9.416
S 0.000 -2.281 10.951
S -1.975 1.140 10.951
S 0.000 0.000 7.887
S -1.915 -1.105 14.773
S 1.975 1.140 10.951
S 0.000 0.000 17.738
S 1.915 -1.105 14.773
S 0.000 2.211 14.773
```

No. 4
This record from Alexandria via LeMat-Bulk describes a geometry-optimized BaLiAsH2 structure. The functional is PBE.

Properties
- raw total energy (eV/atom) = -2.644

Structure (extended XYZ):
```
5
Lattice="4.519 0.000 0.000 0.000 4.519 0.000 0.000 0.000 7.427" Properties=species:S:1:pos:R:3 pbc="T T T"
Ba 0.000 0.000 0.000
Li 0.000 0.000 3.713
As 2.259 2.259 3.713
H 0.000 2.259 0.000
H 2.259 0.000 0.000
```

No. 5
This record from Alexandria via LeMat-Bulk describes a geometry-optimized La2SmEr4 structure. The functional is PBE.

Properties
- formation enthalpy at 0 K (meV per atom) = 256
- raw total energy (eV/atom) = -4.433

Structure (extended XYZ):
```
7
Lattice="-2.304 2.304 11.264 2.304 -2.304 11.264 2.304 2.304 -11.264" Properties=species:S:1:pos:R:3 pbc="T T T"
La 0.000 0.000 2.226
La 0.000 0.000 20.302
Sm 0.000 0.000 11.264
Er 2.304 0.000 5.632
Er 0.000 0.000 8.090
Er 0.000 0.000 14.438
Er 0.000 2.304 5.632
```

No. 6
This record from Alexandria via LeMat-Bulk describes a geometry-optimized Gd3As5O12 structure. The functional is PBE.

Properties
- energy relative to the elements, uncorrected (eV/atom) = -2.12
- raw total energy (eV/atom) = -8.365

Structure (extended XYZ):
```
40
Lattice="-5.374 5.374 5.374 5.374 -5.374 5.374 5.374 5.374 -5.374" Properties=species:S:1:pos:R:3 pbc="T T T"
Gd 5.374 2.687 0.000
Gd 5.374 0.000 2.687
Gd 2.687 5.374 0.000
Gd 2.687 0.000 5.374
Gd 0.000 5.374 2.687
Gd 0.000 2.687 5.374
As 2.666 2.666 -2.666
As 3.105 0.000 0.000
As 2.666 -2.666 2.666
As 7.644 0.000 0.000
As 0.000 3.105 0.000
As 0.000 0.000 3.105
As -2.666 2.666 2.666
As 2.709 2.709 2.709
As 0.000 7.644 0.000
As 0.000 0.000 7.644
O 3.568 1.522 -1.522
O 3.568 -1.522 1.522
O 6.543 0.999 -0.999
O 6.543 -0.999 0.999
O 4.205 0.999 0.999
O 1.522 3.568 -1.522
O 1.522 -1.522 3.568
O 7.181 1.522 1.522
O 4.375 4.375 -1.169
O 4.375 -1.169 4.375
O -1.522 3.568 1.522
O -1.522 1.522 3.568
O 0.999 4.205 0.999
O 0.999 0.999 4.205
O 0.999 6.543 -0.999
O 0.999 -0.999 6.543
O 3.853 3.853 1.807
O 3.853 1.807 3.853
O -0.999 6.543 0.999
O -0.999 0.999 6.543
O 1.807 3.853 3.853
O 1.522 7.181 1.522
O 1.522 1.522 7.181
O -1.169 4.375 4.375
```